Material: Mg30NbCoO32
Method: DFT, PBE with a Hubbard U
State: optimized geometry

VASP energy: -387.31 eV for the cell shown
Symmetry: P4/mmm, No. 123

```
Mg30NbCoO32
1.0
-4.533 5.403 4.825
-6.056 -5.950 0.974
3.986 -2.911 7.005
O Mg Co Nb
32 30 1 1
direct
0.500 0.500 0.741
0.749 0.749 0.751
0.000 0.748 0.500
0.500 0.000 0.251
0.500 0.250 0.500
0.263 0.000 0.000
0.000 0.500 0.749
0.251 0.251 0.751
0.250 0.500 0.000
0.750 0.500 0.500
0.737 0.000 0.000
0.000 0.263 0.000
0.749 0.749 0.249
0.251 0.749 0.249
0.500 0.000 0.749
0.500 0.750 0.500
0.000 0.000 0.738
0.749 0.251 0.249
0.252 0.000 0.500
0.000 0.737 0.000
0.750 0.500 0.000
0.000 0.252 0.500
0.500 0.750 0.000
0.749 0.251 0.751
0.000 0.500 0.251
0.250 0.500 0.500
0.500 0.250 0.000
0.251 0.749 0.751
0.251 0.251 0.249
0.748 0.000 0.500
0.500 0.500 0.259
0.000 0.000 0.262
0.751 0.751 0.500
0.249 0.751 0.500
0.500 0.246 0.746
0.247 0.000 0.752
0.241 0.241 0.000
0.241 0.759 0.000
0.751 0.249 0.500
0.753 0.000 0.248
0.500 0.000 0.000
0.754 0.500 0.254
0.500 0.500 0.500
0.000 0.500 0.500
0.000 0.753 0.248
0.500 0.754 0.746
0.759 0.241 0.000
0.246 0.500 0.746
0.500 0.000 0.500
0.246 0.500 0.254
0.500 0.754 0.254
0.000 0.753 0.752
0.754 0.500 0.746
0.759 0.759 0.000
0.000 0.247 0.752
0.000 0.000 0.500
0.247 0.000 0.248
0.753 0.000 0.752
0.000 0.500 0.000
0.000 0.247 0.248
0.500 0.246 0.254
0.249 0.249 0.500
0.000 0.000 0.000
0.500 0.500 0.000
```